# 1
Entry from Alexandria: an optimized crystal structure of TiSb2Mo (PBE).

Cell lengths 4.1115, 4.1115, 17.8362 Å; angles 90.00, 90.00, 120.00 degrees
With the nearest neighbours (Å) after each atom.
Space group R-3m (No. 166, hexagonal axes)
Symmetry-distinct sites (fractional):
Ti1 0.0000 0.0000 0.0000 [3 per cell]  6 Sb 2.82
Sb1 0.0000 0.0000 0.2483 [6 per cell]  3 Mo 2.78, 3 Ti 2.82
Mo1 0.0000 0.0000 0.5000 [3 per cell]  6 Sb 2.78

ΔE_f (raw), eV/atom: 0.209
Energy above the lowest structure with this stoichiometry, meV/atom: 235
Electronic total energy, eV/atom: -6.5340

***

# 2
Entry from Alexandria: an optimized crystal structure of Pm2Ni3Sn (PBE).

Cell lengths 8.0308, 8.5799, 14.5355 Å; angles 90.00, 90.00, 90.00 degrees
With the nearest neighbours (Å) after each atom.
Space group Fmmm (No. 69)
Symmetry-distinct sites (fractional):
Pm1 0.2314 0.0000 0.0000 [8 per cell]  10 Ni 2.99-3.32, 2 Sn 3.21
Pm2 0.2500 0.2500 0.2500 [8 per cell]  8 Ni 3.18-3.21, 4 Sn 3.19
Ni1 0.0000 0.0000 0.1608 [8 per cell]  2 Ni 2.36, 1 Sn 2.55
Ni2 0.0000 0.2392 0.0809 [16 per cell]  2 Ni 2.35-2.36, 1 Sn 2.54
Sn1 0.0000 0.0000 0.3363 [8 per cell]  3 Ni 2.54-2.55

Electronic total energy, eV/atom: -5.5124

***

What did the second record say?
Entry from Alexandria: an optimized crystal structure of Pm2Ni3Sn (PBE).

Cell lengths 8.0308, 8.5799, 14.5355 Å; angles 90.00, 90.00, 90.00 degrees
With the nearest neighbours (Å) after each atom.
Space group Fmmm (No. 69)
Symmetry-distinct sites (fractional):
Pm1 0.2314 0.0000 0.0000 [8 per cell]  10 Ni 2.99-3.32, 2 Sn 3.21
Pm2 0.2500 0.2500 0.2500 [8 per cell]  8 Ni 3.18-3.21, 4 Sn 3.19
Ni1 0.0000 0.0000 0.1608 [8 per cell]  2 Ni 2.36, 1 Sn 2.55
Ni2 0.0000 0.2392 0.0809 [16 per cell]  2 Ni 2.35-2.36, 1 Sn 2.54
Sn1 0.0000 0.0000 0.3363 [8 per cell]  3 Ni 2.54-2.55

Electronic total energy, eV/atom: -5.5124

***

What is the electronic total energy in the first record? -6.5340 eV/atom